# LaTeMo2 PBE optimized geometry
# Formation energy without anion corrections: 0.466 eV per atom
data_LaTeMo2
_chemical_formula_sum 'La2 Te2 Mo4'
_space_group_name_H-M_alt 'I -4 m 2'
_space_group_IT_number 119
_space_group_name_Hall 'I -4 -2'
_cell_length_a 4.669
_cell_length_b 4.669
_cell_length_c 7.805
_cell_angle_alpha 90.00
_cell_angle_beta 90.00
_cell_angle_gamma 90.00
loop_
_atom_site_label
_atom_site_fract_x
_atom_site_fract_y
_atom_site_fract_z
La1 0.000 0.000 0.000
Te1 0.000 0.500 0.250
Mo1 0.000 0.000 0.500
Mo2 0.000 0.500 0.750